No. 1
A relaxed YPuMgSc crystal. Source: the Alexandria database, functional PBE.

As for the density of states at the Fermi level: 29.7 states/eV/cell. For the calculated formation energy, the calculation gives 0.142 eV/atom. The calculation puts the theoretical density at 6.2 Mg/m³.

The structure in CIF format:
```
data_YPuMgSc
_cell_length_a 7.561
_cell_length_b 7.561
_cell_length_c 7.561
_cell_angle_alpha 90.00
_cell_angle_beta 90.00
_cell_angle_gamma 90.00
_symmetry_space_group_name_H-M 'F -4 3 m'
_symmetry_Int_Tables_number 216
_symmetry_space_group_name_Hall 'F -4 2 3'
loop_
_atom_site_label
_atom_site_type_symbol
_atom_site_fract_x
_atom_site_fract_y
_atom_site_fract_z
Y1 Y 0.000 0.000 0.000
Pu1 Pu 0.000 0.000 0.500
Mg1 Mg 0.250 0.250 0.750
Sc1 Sc 0.250 0.250 0.250
```

=====

No. 2
A relaxed NaGeSeO6 crystal. Source: the Alexandria database, functional PBE.

As for the density of states at the Fermi level: 14.8 states/eV/cell. Its energy relative to the elements, uncorrected is -0.991 eV per atom. The calculation puts the theoretical density at 4.0 Mg/m³.

The structure in CIF format:
```
data_NaGeSeO6
_cell_length_a 4.9459
_cell_length_b 4.9459
_cell_length_c 10.5206
_cell_angle_alpha 90.00
_cell_angle_beta 90.00
_cell_angle_gamma 120.00
_symmetry_space_group_name_H-M 'P -3 1 c'
_symmetry_Int_Tables_number 163
_symmetry_space_group_name_Hall '-P 3 2c'
loop_
_atom_site_label
_atom_site_type_symbol
_atom_site_fract_x
_atom_site_fract_y
_atom_site_fract_z
Na1 Na 0.0000 0.0000 0.0000
Ge1 Ge 0.3333 0.6667 0.2500
Se1 Se 0.3333 0.6667 0.7500
O1 O 0.0153 0.3799 0.6513
```